1.
Entry from the Alexandria database: crystalline InAsPtSe2 at its relaxed geometry (GGA-PBEsol).

Cell and atoms, written as CIF:
```
data_InAsPtSe2
_space_group_name_H-M_alt 'P 1'
_space_group_IT_number 1
_space_group_name_Hall 'P 1'
_cell_length_a 5.041
_cell_length_b 5.041
_cell_length_c 5.069
_cell_angle_alpha 90.00
_cell_angle_beta 90.00
_cell_angle_gamma 90.00
loop_
_atom_site_label
_atom_site_type_symbol
_atom_site_fract_x
_atom_site_fract_y
_atom_site_fract_z
In1 In 0.000 0.000 0.000
As1 As 0.000 0.000 0.500
Pt1 Pt 0.500 0.500 0.500
Se1 Se 0.000 0.500 0.000
Se2 Se 0.500 0.000 0.000
```

**M_tot**: 0.001 μB per atom
**Space group**: P4/mmm
**Energy relative to the elements, uncorrected**: 1.260 eV per atom
**Mass density**: 7.00 g/cm³
**Energy**: -0.121 Ha/atom
**DOS(E_F)**: 7.0 states/eV/f.u.

2.
Entry from the Alexandria database: crystalline InReAs2 at its relaxed geometry (GGA-PBEsol).

Cell and atoms, written as CIF:
```
data_InReAs2
_space_group_name_H-M_alt 'P 1'
_space_group_IT_number 1
_space_group_name_Hall 'P 1'
_cell_length_a 4.586
_cell_length_b 4.586
_cell_length_c 3.267
_cell_angle_alpha 90.00
_cell_angle_beta 90.00
_cell_angle_gamma 90.00
loop_
_atom_site_label
_atom_site_type_symbol
_atom_site_fract_x
_atom_site_fract_y
_atom_site_fract_z
In1 In 0.000 0.000 0.000
Re1 Re 0.500 0.500 0.000
As1 As 0.000 0.500 0.500
As2 As 0.500 0.000 0.500
```

**M_tot**: 0.000 μB per atom
**Space group**: P4/mmm
**Mass density**: 10.90 g/cm³
**Energy**: -0.219 Ha/atom
**DFT formation energy**: 683 meV per atom
**DOS(E_F)**: 4.0 states/eV/f.u.

3.
Entry from the Alexandria database: crystalline InReAs2 at its relaxed geometry (GGA-PBEsol).

Cell and atoms, written as CIF:
```
data_InReAs2
_space_group_name_H-M_alt 'P 1'
_space_group_IT_number 1
_space_group_name_Hall 'P 1'
_cell_length_a 3.216
_cell_length_b 4.951
_cell_length_c 9.335
_cell_angle_alpha 90.00
_cell_angle_beta 90.00
_cell_angle_gamma 90.00
loop_
_atom_site_label
_atom_site_type_symbol
_atom_site_fract_x
_atom_site_fract_y
_atom_site_fract_z
In1 In 0.000 0.000 0.000
In2 In 0.500 0.500 0.000
Re1 Re 0.000 0.500 0.248
Re2 Re 0.500 0.000 0.248
As1 As 0.000 0.000 0.445
As2 As 0.000 0.500 0.740
As3 As 0.500 0.000 0.740
As4 As 0.500 0.500 0.445
```

**M_tot**: 0.000 μB per atom
**Space group**: Cmm2
**Mass density**: 10.07 g/cm³
**Energy**: -0.225 Ha/atom
**DFT formation energy**: 498 meV per atom
**DOS(E_F)**: 2.7 states/eV/f.u.

4.
Entry from the Alexandria database: crystalline InRe3As at its relaxed geometry (GGA-PBEsol).

Cell and atoms, written as CIF:
```
data_InRe3As
_space_group_name_H-M_alt 'P 1'
_space_group_IT_number 1
_space_group_name_Hall 'P 1'
_cell_length_a 4.786
_cell_length_b 4.786
_cell_length_c 4.786
_cell_angle_alpha 90.00
_cell_angle_beta 90.00
_cell_angle_gamma 90.00
loop_
_atom_site_label
_atom_site_type_symbol
_atom_site_fract_x
_atom_site_fract_y
_atom_site_fract_z
In1 In 0.000 0.000 0.000
Re1 Re 0.000 0.000 0.500
Re2 Re 0.000 0.500 0.000
Re3 Re 0.500 0.000 0.000
As1 As 0.500 0.500 0.500
```

**M_tot**: 0.510 μB per atom
**Space group**: Pm-3m
**Mass density**: 11.34 g/cm³
**Energy**: -0.235 Ha/atom
**DFT formation energy**: 3232 meV per atom
**DOS(E_F)**: 8.5 states/eV/f.u.

5.
Entry from the Alexandria database: crystalline InRe2As at its relaxed geometry (GGA-PBEsol).

Cell and atoms, written as CIF:
```
data_InRe2As
_space_group_name_H-M_alt 'P 1'
_space_group_IT_number 1
_space_group_name_Hall 'P 1'
_cell_length_a 6.292
_cell_length_b 6.292
_cell_length_c 6.292
_cell_angle_alpha 90.00
_cell_angle_beta 90.00
_cell_angle_gamma 90.00
loop_
_atom_site_label
_atom_site_type_symbol
_atom_site_fract_x
_atom_site_fract_y
_atom_site_fract_z
In1 In 0.000 0.000 0.000
In2 In 0.000 0.500 0.500
In3 In 0.500 0.000 0.500
In4 In 0.500 0.500 0.000
Re1 Re 0.250 0.250 0.250
Re2 Re 0.250 0.250 0.750
Re3 Re 0.250 0.750 0.250
Re4 Re 0.250 0.750 0.750
Re5 Re 0.750 0.250 0.250
Re6 Re 0.750 0.250 0.750
Re7 Re 0.750 0.750 0.250
Re8 Re 0.750 0.750 0.750
As1 As 0.000 0.000 0.500
As2 As 0.000 0.500 0.000
As3 As 0.500 0.000 0.000
As4 As 0.500 0.500 0.500
```

**M_tot**: 0.000 μB per atom
**Space group**: Fm-3m
**Mass density**: 14.99 g/cm³
**Energy**: -0.295 Ha/atom
**DFT formation energy**: 654 meV per atom
**DOS(E_F)**: 3.1 states/eV/f.u.

6.
Entry from the Alexandria database: crystalline InAs2Rh at its relaxed geometry (GGA-PBEsol).

Cell and atoms, written as CIF:
```
data_InAs2Rh
_space_group_name_H-M_alt 'P 1'
_space_group_IT_number 1
_space_group_name_Hall 'P 1'
_cell_length_a 4.196
_cell_length_b 4.196
_cell_length_c 7.971
_cell_angle_alpha 90.00
_cell_angle_beta 90.00
_cell_angle_gamma 90.00
loop_
_atom_site_label
_atom_site_type_symbol
_atom_site_fract_x
_atom_site_fract_y
_atom_site_fract_z
In1 In 0.000 0.000 0.000
In2 In 0.500 0.500 0.500
As1 As 0.000 0.000 0.500
As2 As 0.000 0.500 0.750
As3 As 0.500 0.000 0.250
As4 As 0.500 0.500 0.000
Rh1 Rh 0.000 0.500 0.250
Rh2 Rh 0.500 0.000 0.750
```

**M_tot**: 0.000 μB per atom
**Space group**: I-4m2
**Mass density**: 8.70 g/cm³
**Energy**: -0.191 Ha/atom
**DFT formation energy**: 133 meV per atom
**DOS(E_F)**: 2.0 states/eV/f.u.

7.
Entry from the Alexandria database: crystalline InAsRh2 at its relaxed geometry (GGA-PBEsol).

Cell and atoms, written as CIF:
```
data_InAsRh2
_space_group_name_H-M_alt 'P 1'
_space_group_IT_number 1
_space_group_name_Hall 'P 1'
_cell_length_a 3.364
_cell_length_b 3.364
_cell_length_c 5.733
_cell_angle_alpha 90.00
_cell_angle_beta 90.00
_cell_angle_gamma 90.00
loop_
_atom_site_label
_atom_site_type_symbol
_atom_site_fract_x
_atom_site_fract_y
_atom_site_fract_z
In1 In 0.000 0.000 0.000
As1 As 0.500 0.500 0.647
Rh1 Rh 0.000 0.000 0.512
Rh2 Rh 0.500 0.500 0.215
```

**M_tot**: 0.000 μB per atom
**Space group**: P4mm
**Mass density**: 10.13 g/cm³
**Energy**: -0.232 Ha/atom
**DFT formation energy**: -234 meV per atom
**DOS(E_F)**: 2.9 states/eV/f.u.

8.
Entry from the Alexandria database: crystalline InAsRu at its relaxed geometry (GGA-PBEsol).

Cell and atoms, written as CIF:
```
data_InAsRu
_space_group_name_H-M_alt 'P 1'
_space_group_IT_number 1
_space_group_name_Hall 'P 1'
_cell_length_a 2.995
_cell_length_b 2.995
_cell_length_c 11.896
_cell_angle_alpha 90.00
_cell_angle_beta 90.00
_cell_angle_gamma 90.00
loop_
_atom_site_label
_atom_site_type_symbol
_atom_site_fract_x
_atom_site_fract_y
_atom_site_fract_z
In1 In 0.000 0.000 0.000
In2 In 0.500 0.500 0.500
As1 As 0.000 0.000 0.278
As2 As 0.500 0.500 0.778
Ru1 Ru 0.000 0.000 0.664
Ru2 Ru 0.500 0.500 0.164
```

**M_tot**: 0.000 μB per atom
**Space group**: I4mm
**Mass density**: 9.05 g/cm³
**Energy**: -0.227 Ha/atom
**DFT formation energy**: -96 meV per atom
**DOS(E_F)**: 1.0 states/eV/f.u.

9.
Entry from the Alexandria database: crystalline InAsRu2 at its relaxed geometry (GGA-PBEsol).

Cell and atoms, written as CIF:
```
data_InAsRu2
_space_group_name_H-M_alt 'P 1'
_space_group_IT_number 1
_space_group_name_Hall 'P 1'
_cell_length_a 6.220
_cell_length_b 6.220
_cell_length_c 6.220
_cell_angle_alpha 90.00
_cell_angle_beta 90.00
_cell_angle_gamma 90.00
loop_
_atom_site_label
_atom_site_type_symbol
_atom_site_fract_x
_atom_site_fract_y
_atom_site_fract_z
In1 In 0.000 0.000 0.000
In2 In 0.000 0.500 0.500
In3 In 0.500 0.000 0.500
In4 In 0.500 0.500 0.000
As1 As 0.000 0.000 0.500
As2 As 0.000 0.500 0.000
As3 As 0.500 0.000 0.000
As4 As 0.500 0.500 0.500
Ru1 Ru 0.250 0.250 0.250
Ru2 Ru 0.250 0.250 0.750
Ru3 Ru 0.250 0.750 0.250
Ru4 Ru 0.250 0.750 0.750
Ru5 Ru 0.750 0.250 0.250
Ru6 Ru 0.750 0.250 0.750
Ru7 Ru 0.750 0.750 0.250
Ru8 Ru 0.750 0.750 0.750
```

**M_tot**: 0.000 μB per atom
**Space group**: Fm-3m
**Mass density**: 10.82 g/cm³
**Energy**: -0.259 Ha/atom
**DFT formation energy**: 71 meV per atom
**DOS(E_F)**: 1.0 states/eV/f.u.

10.
Entry from the Alexandria database: crystalline In2AsRu at its relaxed geometry (GGA-PBEsol).

Cell and atoms, written as CIF:
```
data_In2AsRu
_space_group_name_H-M_alt 'P 1'
_space_group_IT_number 1
_space_group_name_Hall 'P 1'
_cell_length_a 4.599
_cell_length_b 4.599
_cell_length_c 3.447
_cell_angle_alpha 90.00
_cell_angle_beta 90.00
_cell_angle_gamma 90.00
loop_
_atom_site_label
_atom_site_type_symbol
_atom_site_fract_x
_atom_site_fract_y
_atom_site_fract_z
In1 In 0.000 0.500 0.000
In2 In 0.500 0.000 0.000
As1 As 0.000 0.000 0.500
Ru1 Ru 0.500 0.500 0.500
```

**M_tot**: 0.000 μB per atom
**Space group**: P4/mmm
**Mass density**: 9.24 g/cm³
**Energy**: -0.186 Ha/atom
**DFT formation energy**: 259 meV per atom
**DOS(E_F)**: 2.2 states/eV/f.u.

11.
Entry from the Alexandria database: crystalline InAs2Ru at its relaxed geometry (GGA-PBEsol).

Cell and atoms, written as CIF:
```
data_InAs2Ru
_space_group_name_H-M_alt 'P 1'
_space_group_IT_number 1
_space_group_name_Hall 'P 1'
_cell_length_a 5.528
_cell_length_b 7.519
_cell_length_c 3.335
_cell_angle_alpha 90.00
_cell_angle_beta 90.00
_cell_angle_gamma 90.00
loop_
_atom_site_label
_atom_site_type_symbol
_atom_site_fract_x
_atom_site_fract_y
_atom_site_fract_z
In1 In 0.000 0.000 0.000
In2 In 0.500 0.500 0.000
As1 As 0.250 0.250 0.500
As2 As 0.250 0.750 0.500
As3 As 0.750 0.250 0.500
As4 As 0.750 0.750 0.500
Ru1 Ru 0.000 0.500 0.000
Ru2 Ru 0.500 0.000 0.000
```

**M_tot**: 0.000 μB per atom
**Space group**: Cmmm
**Mass density**: 8.76 g/cm³
**Energy**: -0.203 Ha/atom
**DFT formation energy**: 313 meV per atom
**DOS(E_F)**: 2.4 states/eV/f.u.

12.
Entry from the Alexandria database: crystalline InAs2Ru at its relaxed geometry (GGA-PBEsol).

Cell and atoms, written as CIF:
```
data_InAs2Ru
_space_group_name_H-M_alt 'P 1'
_space_group_IT_number 1
_space_group_name_Hall 'P 1'
_cell_length_a 4.491
_cell_length_b 4.491
_cell_length_c 3.416
_cell_angle_alpha 90.00
_cell_angle_beta 90.00
_cell_angle_gamma 90.00
loop_
_atom_site_label
_atom_site_type_symbol
_atom_site_fract_x
_atom_site_fract_y
_atom_site_fract_z
In1 In 0.000 0.000 0.000
As1 As 0.000 0.500 0.500
As2 As 0.500 0.000 0.500
Ru1 Ru 0.500 0.500 0.000
```

**M_tot**: 0.000 μB per atom
**Space group**: P4/mmm
**Mass density**: 8.81 g/cm³
**Energy**: -0.200 Ha/atom
**DFT formation energy**: 404 meV per atom
**DOS(E_F)**: 2.7 states/eV/f.u.

13.
Entry from the Alexandria database: crystalline InAs2Ru at its relaxed geometry (GGA-PBEsol).

Cell and atoms, written as CIF:
```
data_InAs2Ru
_space_group_name_H-M_alt 'P 1'
_space_group_IT_number 1
_space_group_name_Hall 'P 1'
_cell_length_a 3.024
_cell_length_b 3.024
_cell_length_c 7.843
_cell_angle_alpha 90.00
_cell_angle_beta 90.00
_cell_angle_gamma 90.00
loop_
_atom_site_label
_atom_site_type_symbol
_atom_site_fract_x
_atom_site_fract_y
_atom_site_fract_z
In1 In 0.000 0.000 0.000
As1 As 0.500 0.500 0.307
As2 As 0.500 0.500 0.693
Ru1 Ru 0.000 0.000 0.500
```

**M_tot**: 0.000 μB per atom
**Space group**: P4/mmm
**Mass density**: 8.47 g/cm³
**Energy**: -0.217 Ha/atom
**DFT formation energy**: -56 meV per atom
**DOS(E_F)**: 2.3 states/eV/f.u.

14.
Entry from the Alexandria database: crystalline In4AsRu at its relaxed geometry (GGA-PBEsol).

Cell and atoms, written as CIF:
```
data_In4AsRu
_space_group_name_H-M_alt 'P 1'
_space_group_IT_number 1
_space_group_name_Hall 'P 1'
_cell_length_a 5.692
_cell_length_b 5.692
_cell_length_c 5.692
_cell_angle_alpha 60.00
_cell_angle_beta 60.00
_cell_angle_gamma 60.00
loop_
_atom_site_label
_atom_site_type_symbol
_atom_site_fract_x
_atom_site_fract_y
_atom_site_fract_z
In1 In 0.125 0.125 0.125
In2 In 0.125 0.125 0.624
In3 In 0.125 0.624 0.125
In4 In 0.624 0.125 0.125
As1 As 0.750 0.750 0.750
Ru1 Ru 0.500 0.500 0.500
```

**M_tot**: 0.207 μB per atom
**Space group**: F-43m
**Mass density**: 8.09 g/cm³
**Energy**: -0.139 Ha/atom
**DFT formation energy**: 756 meV per atom
**DOS(E_F)**: 5.5 states/eV/f.u.

15.
Entry from the Alexandria database: crystalline InAsS2 at its relaxed geometry (GGA-PBEsol).

Cell and atoms, written as CIF:
```
data_InAsS2
_space_group_name_H-M_alt 'P 1'
_space_group_IT_number 1
_space_group_name_Hall 'P 1'
_cell_length_a 6.593
_cell_length_b 6.593
_cell_length_c 6.593
_cell_angle_alpha 90.00
_cell_angle_beta 90.00
_cell_angle_gamma 90.00
loop_
_atom_site_label
_atom_site_type_symbol
_atom_site_fract_x
_atom_site_fract_y
_atom_site_fract_z
In1 In 0.000 0.000 0.000
In2 In 0.000 0.500 0.500
In3 In 0.500 0.000 0.500
In4 In 0.500 0.500 0.000
As1 As 0.000 0.000 0.500
As2 As 0.000 0.500 0.000
As3 As 0.500 0.000 0.000
As4 As 0.500 0.500 0.500
S1 S 0.250 0.250 0.250
S2 S 0.250 0.250 0.750
S3 S 0.250 0.750 0.250
S4 S 0.250 0.750 0.750
S5 S 0.750 0.250 0.250
S6 S 0.750 0.250 0.750
S7 S 0.750 0.750 0.250
S8 S 0.750 0.750 0.750
```

**M_tot**: 0.000 μB per atom
**Space group**: Fm-3m
**Energy relative to the elements, uncorrected**: 0.133 eV per atom
**Mass density**: 5.88 g/cm³
**Energy**: -0.150 Ha/atom
**DOS(E_F)**: 1.9 states/eV/f.u.